Material: Mn2FeMo
Method: DFT, PBE-GGA
State: optimized geometry

Space group: Cmm2 (35)
ΔE_f: 0.1764 eV per atom

```
Mn2FeMo
1.0
-1.761 1.850 -0.057
-1.300 -2.181 0.283
0.506 0.725 7.902
Fe Mn Mo
1 2 1
direct
0.500 0.500 0.766 Fe
0.000 0.000 0.007 Mn
0.500 0.500 0.231 Mn
0.000 0.000 0.497 Mo
```

***

Material: MnFeMo
Method: DFT, PBE-GGA
State: optimized geometry

Excess energy over the best structure of this formula in the dataset: 142 meV/atom
Space group: I4mm (107)
ΔE_f: 0.1089 eV per atom

```
MnFeMo
1.0
6.056 0.059 0.000
4.930 3.517 0.000
-5.493 -1.788 1.818
Fe Mn Mo
1 1 1
direct
0.986 0.986 0.000 Fe
0.348 0.348 0.000 Mn
0.666 0.666 0.000 Mo
```

***

Material: MnFeMo2N
Method: DFT, PBE-GGA
State: optimized geometry

Excess energy over the best structure of this formula in the dataset: 0 meV/atom
Space group: P4/mmm (123)

```
MnFeMo2N
1.0
-0.107 -0.561 4.074
4.007 -0.931 -0.023
0.846 3.629 0.522
Mo Mn Fe N
2 1 1 1
direct
0.000 0.500 0.000 Mo
0.500 0.000 0.000 Mo
0.000 0.000 0.500 Mn
0.500 0.500 0.500 Fe
0.000 0.000 0.000 N
```

***

Material: Mn2FeMoN
Method: DFT, PBE-GGA
State: optimized geometry

Excess energy over the best structure of this formula in the dataset: 17 meV/atom
Space group: P4/mmm (123)

```
Mn2FeMoN
1.0
-1.907 -3.166 0.861
1.233 0.232 3.582
-3.015 2.061 0.904
Mo Mn Fe N
1 2 1 1
direct
0.500 0.500 0.500 Mo
0.000 0.500 0.000 Mn
0.500 0.000 0.000 Mn
0.000 0.000 0.500 Fe
0.000 0.000 0.000 N
```

***

Material: MnFeMo2N
Method: DFT, PBE-GGA
State: optimized geometry

Excess energy over the best structure of this formula in the dataset: 55 meV/atom
Space group: P4/mmm (123)

```
MnFeMo2N
1.0
4.069 0.000 0.000
0.000 4.069 0.000
0.000 0.000 3.674
Mo Mn Fe N
2 1 1 1
direct
0.000 0.500 0.000 Mo
0.500 0.000 0.000 Mo
0.500 0.500 0.500 Mn
0.000 0.000 0.500 Fe
0.000 0.000 0.000 N
```

***

Material: Mn2FeMoN
Method: DFT, PBE-GGA
State: optimized geometry

Excess energy over the best structure of this formula in the dataset: 0 meV/atom
Space group: P4/mmm (123)

```
Mn2FeMoN
1.0
-3.281 0.945 -1.552
-0.965 -3.621 -0.166
-1.675 0.276 3.711
Mo Mn Fe N
1 2 1 1
direct
0.000 0.000 0.500 Mo
0.000 0.500 0.000 Mn
0.500 0.000 0.000 Mn
0.500 0.500 0.500 Fe
0.000 0.000 0.000 N
```

***

Results for D(E_F): 4.9; 2.3; 5.3; 5.3; 4.5; 5.3 (in states/eV per cell, following the order of the records).
Results for E: -9.23; -9.38; -9.56; -9.24; -9.50; -9.25 (in eV/atom, following the order of the records).
Results for volume: 50.0; 38.2; 63.7; 54.2; 60.8; 57.4 (in Å³ per cell, following the order of the records).